Density functional theory data (PBE) for a relaxed La2Pm3Ge3 crystal.

Results
Size of the total moment (μB/atom): 0.000
Electronic total energy (eV per atom): -5.2291

Unit cell a=12.0501 b=12.0501 c=12.0501 alpha=160.50 beta=157.87 gamma=29.66
Last column: nearest neighbours and their distance in Å.
Fractional coordinates of all 8 atoms:
La (0.2368, 0.2368, 0.0000)  4 La 3.14, 4 Ge 3.15-3.43
La (0.7632, 0.7632, 0.0000)  4 La 3.14, 4 Ge 3.15-3.43
Pm (0.1121, 0.6121, 0.5000)  6 Ge 3.18-3.31, 2 Pm 3.49, 2 La 3.55
Pm (0.5000, 0.5000, 0.0000)  4 Ge 3.08
Pm (0.8879, 0.3879, 0.5000)  6 Ge 3.18-3.31, 2 Pm 3.49, 2 La 3.55
Ge (0.0000, 0.0000, 0.0000)  8 Pm 3.08-3.31
Ge (0.3550, 0.8550, 0.5000)  4 La 3.15-3.43, 4 Pm 3.18
Ge (0.6450, 0.1450, 0.5000)  4 La 3.15-3.43, 4 Pm 3.18